# 1
Computed, not measured: a relaxed BaTi3Al crystal at the PBE-GGA level of DFT.

## Properties
V: 25.25 Å³ per atom
final energy: -5.072 eV per atom
magnetization: 0.00 μB/f.u.
energy relative to the elements: 0.798 eV per atom

Cell: 5.0166 5.0166 5.0166 Å, 90.00 90.00 90.00°
Element x y z (fractional)
Ba (0.0000, 0.0000, 0.0000)
Ti (0.0000, 0.5000, 0.5000)
Ti (0.5000, 0.0000, 0.5000)
Ti (0.5000, 0.5000, 0.0000)
Al (0.5000, 0.5000, 0.5000)

=====

# 2
Computed, not measured: a relaxed BaAg2I2 crystal at the PBE-GGA level of DFT.

## Properties
V: 33.77 Å³ per atom
final energy: -2.616 eV per atom
E_form (uncorrected): -0.471 eV/atom
magnetization: 0.00 μB/f.u.

Cell: 8.4547 8.4547 4.7244 Å, 90.00 90.00 90.00°
Element x y z (fractional)
Ba (0.0000, 0.0000, 0.0000)
Ba (0.5000, 0.5000, 0.0000)
Ag (0.1094, 0.3906, 0.0000)
Ag (0.3906, 0.8906, 0.0000)
Ag (0.6094, 0.1094, 0.0000)
Ag (0.8906, 0.6094, 0.0000)
I (0.2300, 0.7300, 0.5000)
I (0.2700, 0.2300, 0.5000)
I (0.7300, 0.7700, 0.5000)
I (0.7700, 0.2700, 0.5000)

=====

# 3
Computed, not measured: a relaxed YCd2Ni2 crystal at the PBE-GGA level of DFT.

## Properties
V: 19.16 Å³ per atom
final energy: -4.153 eV per atom
magnetization: 0.00 μB/f.u.
energy relative to the elements: -0.181 eV per atom

Cell: 4.0549 4.0549 11.6531 Å, 90.00 90.00 90.00°
Element x y z (fractional)
Y (0.0000, 0.0000, 0.0000)
Y (0.5000, 0.5000, 0.5000)
Cd (0.0000, 0.5000, 0.2500)
Cd (0.0000, 0.5000, 0.7500)
Cd (0.5000, 0.0000, 0.2500)
Cd (0.5000, 0.0000, 0.7500)
Ni (0.0000, 0.0000, 0.4035)
Ni (0.0000, 0.0000, 0.5965)
Ni (0.5000, 0.5000, 0.0965)
Ni (0.5000, 0.5000, 0.9035)